Entry 1:
An optimized crystal structure of ThReN2, computed with PBE.

Calculated values
uncorrected formation energy = 82 meV/atom

Cell lengths 3.4116, 3.4116, 18.2887 Å; angles 90.00, 90.00, 120.00 degrees
Space group R-3m (No. 166, hexagonal axes)
Symmetry-distinct sites (fractional):
1 Th 0.0000 0.0000 0.0000 [3 per cell]
2 Re 0.0000 0.0000 0.5000 [3 per cell]
3 N 0.0000 0.0000 0.1230 [6 per cell]



Entry 2:
An optimized crystal structure of Sr2RuAu, computed with PBE.

Calculated values
calculated formation energy = 6.587 kcal/mol of atoms

Cell lengths 7.274, 7.274, 7.274 Å; angles 90.00, 90.00, 90.00 degrees
Space group F-43m (No. 216)
Symmetry-distinct sites (fractional):
1 Sr 0.000 0.000 0.000 [4 per cell]
2 Sr 0.250 0.250 0.250 [4 per cell]
3 Ru 0.250 0.250 0.750 [4 per cell]
4 Au 0.000 0.000 0.500 [4 per cell]



Entry 3:
An optimized crystal structure of Pt3IN, computed with PBE.

Calculated values
uncorrected formation energy = 2193 meV/atom
energy above the most stable polymorph in this dataset = 1290.3 meV per atom

Cell lengths 5.028, 5.028, 5.028 Å; angles 90.00, 90.00, 90.00 degrees
Space group Pm-3m (No. 221)
Symmetry-distinct sites (fractional):
1 Pt 0.000 0.000 0.500 [3 per cell]
2 I 0.000 0.000 0.000 [1 per cell]
3 N 0.500 0.500 0.500 [1 per cell]



Entry 4:
An optimized crystal structure of FeSb2H, computed with PBE.

Calculated values
energy above the most stable polymorph in this dataset = 0.0 meV per atom

Cell lengths 6.348, 6.348, 6.348 Å; angles 90.00, 90.00, 90.00 degrees
Space group Fm-3m (No. 225)
Symmetry-distinct sites (fractional):
1 Fe 0.000 0.000 0.000 [4 per cell]
2 Sb 0.250 0.250 0.250 [8 per cell]
3 H 0.000 0.000 0.500 [4 per cell]



Entry 5:
An optimized crystal structure of Rb2Cr3Br8, computed with PBE.

Calculated values
uncorrected formation energy = -956 meV/atom

Cell lengths 14.496, 7.521, 8.675 Å; angles 90.00, 104.55, 90.00 degrees
Space group C2/m (No. 12)
Symmetry-distinct sites (fractional):
1 Rb 0.213 0.000 0.161 [4 per cell]
2 Cr 0.000 0.251 0.500 [4 per cell]
3 Cr 0.000 0.500 0.000 [2 per cell]
4 Br 0.079 0.265 0.869 [8 per cell]
5 Br 0.114 0.500 0.466 [4 per cell]
6 Br 0.118 0.000 0.494 [4 per cell]



Entry 6:
An optimized crystal structure of Li6LaHg6, computed with PBE.

Calculated values
calculated formation energy = -7.631 kcal/mol of atoms

Cell lengths 5.462, 9.624, 10.070 Å; angles 90.00, 90.00, 90.00 degrees
Space group Immm (No. 71)
Symmetry-distinct sites (fractional):
1 Li 0.000 0.245 0.000 [4 per cell]
2 Li 0.250 0.250 0.250 [8 per cell]
3 La 0.000 0.500 0.500 [2 per cell]
4 Hg 0.000 0.000 0.179 [4 per cell]
5 Hg 0.000 0.162 0.500 [4 per cell]
6 Hg 0.000 0.500 0.158 [4 per cell]



Entry 7:
An optimized crystal structure of CdHg2Pb, computed with PBE.

Calculated values
calculated formation energy = 1.008 kcal/mol of atoms

Cell lengths 3.341, 5.331, 6.034 Å; angles 90.00, 94.27, 90.00 degrees
Space group P2/m (No. 10)
Symmetry-distinct sites (fractional):
1 Cd 0.000 0.000 0.000 [1 per cell]
2 Hg 0.184 0.500 0.758 [2 per cell]
3 Pb 0.500 0.000 0.500 [1 per cell]



Entry 8:
An optimized crystal structure of ReAs2HBr, computed with PBE.

Calculated values
energy above the most stable polymorph in this dataset = 314.2 meV per atom

Cell lengths 3.982, 3.982, 4.909 Å; angles 90.00, 90.00, 90.00 degrees
Space group P4/mmm (No. 123)
Symmetry-distinct sites (fractional):
1 Re 0.000 0.000 0.000 [1 per cell]
2 As 0.000 0.500 0.500 [2 per cell]
3 H 0.500 0.500 0.500 [1 per cell]
4 Br 0.500 0.500 0.000 [1 per cell]



Entry 9:
An optimized crystal structure of LiLaDyAg, computed with PBE.

Calculated values
calculated formation energy = -1.410 kcal/mol of atoms

Cell lengths 7.512, 7.512, 7.512 Å; angles 90.00, 90.00, 90.00 degrees
Space group F-43m (No. 216)
Symmetry-distinct sites (fractional):
1 Li 0.000 0.000 0.000 [4 per cell]
2 La 0.250 0.250 0.750 [4 per cell]
3 Dy 0.250 0.250 0.250 [4 per cell]
4 Ag 0.000 0.000 0.500 [4 per cell]



Entry 10:
An optimized crystal structure of Nb3TcPt, computed with PBE.

Calculated values
calculated formation energy = 33.256 kcal/mol of atoms
energy above the most stable polymorph in this dataset = 432.5 meV per atom

Cell lengths 4.823, 4.823, 4.823 Å; angles 90.00, 90.00, 90.00 degrees
Space group Pm-3m (No. 221)
Symmetry-distinct sites (fractional):
1 Nb 0.000 0.000 0.500 [3 per cell]
2 Tc 0.500 0.500 0.500 [1 per cell]
3 Pt 0.000 0.000 0.000 [1 per cell]



Entry 11:
An optimized crystal structure of AcEuMgCu, computed with PBE.

Calculated values
calculated formation energy = -0.016 kcal/mol of atoms

Cell lengths 7.821, 7.821, 7.821 Å; angles 90.00, 90.00, 90.00 degrees
Space group F-43m (No. 216)
Symmetry-distinct sites (fractional):
1 Ac 0.000 0.000 0.000 [4 per cell]
2 Eu 0.000 0.000 0.500 [4 per cell]
3 Mg 0.250 0.250 0.250 [4 per cell]
4 Cu 0.250 0.250 0.750 [4 per cell]



Entry 12:
An optimized crystal structure of ZnCd2PdPb, computed with PBE.

Calculated values
calculated formation energy = 13.331 kcal/mol of atoms
energy above the most stable polymorph in this dataset = 376.3 meV per atom

Cell lengths 5.729, 5.729, 5.182 Å; angles 90.00, 90.00, 90.00 degrees
Space group P4/mmm (No. 123)
Symmetry-distinct sites (fractional):
1 Zn 0.000 0.000 0.000 [1 per cell]
2 Cd 0.000 0.500 0.500 [2 per cell]
3 Pd 0.500 0.500 0.000 [1 per cell]
4 Pb 0.500 0.500 0.500 [1 per cell]



Entry 13:
An optimized crystal structure of Co3AsPt, computed with PBE.

Calculated values
calculated formation energy = 28.768 kcal/mol of atoms
energy above the most stable polymorph in this dataset = 509.5 meV per atom

Cell lengths 4.601, 4.601, 4.601 Å; angles 90.00, 90.00, 90.00 degrees
Space group Pm-3m (No. 221)
Symmetry-distinct sites (fractional):
1 Co 0.000 0.000 0.500 [3 per cell]
2 As 0.500 0.500 0.500 [1 per cell]
3 Pt 0.000 0.000 0.000 [1 per cell]



Entry 14:
An optimized crystal structure of CaRh, computed with PBE.

Calculated values
calculated formation energy = -1.336 kcal/mol of atoms

Cell lengths 3.3307, 3.3307, 12.7959 Å; angles 90.00, 90.00, 120.00 degrees
Space group R-3m (No. 166, hexagonal axes)
Symmetry-distinct sites (fractional):
1 Ca 0.0000 0.0000 0.0000 [3 per cell]
2 Rh 0.0000 0.0000 0.5000 [3 per cell]



Entry 15:
An optimized crystal structure of K4Tl2In, computed with PBE.

Calculated values
calculated formation energy = -1.245 kcal/mol of atoms

Cell lengths 10.156, 11.804, 5.165 Å; angles 90.00, 90.00, 90.00 degrees
Space group Cmmm (No. 65)
Symmetry-distinct sites (fractional):
1 K 0.188 0.000 0.000 [4 per cell]
2 K 0.250 0.250 0.500 [4 per cell]
3 Tl 0.000 0.344 0.000 [4 per cell]
4 In 0.000 0.500 0.500 [2 per cell]



Entry 16:
An optimized crystal structure of Na2PaP2N6, computed with PBE.

Calculated values
uncorrected formation energy = -496 meV/atom

Cell lengths 5.6769, 5.6769, 6.6638 Å; angles 90.00, 90.00, 120.00 degrees
Space group P-3 (No. 147)
Symmetry-distinct sites (fractional):
1 Na 0.3333 0.6667 0.3135 [2 per cell]
2 Pa 0.0000 0.0000 0.0000 [1 per cell]
3 P 0.3333 0.6667 0.8070 [2 per cell]
4 N 0.0925 0.3627 0.8012 [6 per cell]



Entry 17:
An optimized crystal structure of MnCu2W, computed with PBE.

Calculated values
calculated formation energy = 9.995 kcal/mol of atoms
energy above the most stable polymorph in this dataset = 215.8 meV per atom

Cell lengths 5.981, 5.981, 5.981 Å; angles 90.00, 90.00, 90.00 degrees
Space group Fm-3m (No. 225)
Symmetry-distinct sites (fractional):
1 Mn 0.000 0.000 0.000 [4 per cell]
2 Cu 0.250 0.250 0.250 [8 per cell]
3 W 0.000 0.000 0.500 [4 per cell]



Entry 18:
An optimized crystal structure of Ca4Br3, computed with PBE.

Calculated values
uncorrected formation energy = -686 meV/atom

Cell lengths 6.6773, 6.6773, 5.8934 Å; angles 90.00, 90.00, 120.00 degrees
Space group P6/mmm (No. 191)
Symmetry-distinct sites (fractional):
1 Ca 0.0000 0.0000 0.2470 [2 per cell]
2 Ca 0.3333 0.6667 0.5000 [2 per cell]
3 Br 0.0000 0.5000 0.0000 [3 per cell]



Entry 19:
An optimized crystal structure of LuScMnZn, computed with PBE.

Calculated values
calculated formation energy = -1.592 kcal/mol of atoms

Cell lengths 6.796, 6.796, 6.796 Å; angles 90.00, 90.00, 90.00 degrees
Space group F-43m (No. 216)
Symmetry-distinct sites (fractional):
1 Lu 0.000 0.000 0.000 [4 per cell]
2 Sc 0.000 0.000 0.500 [4 per cell]
3 Mn 0.250 0.250 0.750 [4 per cell]
4 Zn 0.250 0.250 0.250 [4 per cell]



Entry 20:
An optimized crystal structure of GaBiN2O, computed with PBE.

Calculated values
uncorrected formation energy = 472 meV/atom

Cell lengths 3.931, 3.931, 4.022 Å; angles 90.00, 90.00, 90.00 degrees
Space group P4/mmm (No. 123)
Symmetry-distinct sites (fractional):
1 Ga 0.000 0.000 0.000 [1 per cell]
2 Bi 0.500 0.500 0.500 [1 per cell]
3 N 0.000 0.500 0.000 [2 per cell]
4 O 0.000 0.000 0.500 [1 per cell]



Entry 21:
An optimized crystal structure of CrSn2Se, computed with PBE.

Calculated values
uncorrected formation energy = 417 meV/atom

Cell lengths 6.730, 6.730, 11.057 Å; angles 90.00, 90.00, 90.00 degrees
Space group I-42d (No. 122)
Symmetry-distinct sites (fractional):
1 Cr 0.000 0.000 0.000 [4 per cell]
2 Sn 0.243 0.250 0.125 [8 per cell]
3 Se 0.000 0.000 0.500 [4 per cell]



Entry 22:
An optimized crystal structure of KCdP2H, computed with PBE.

Calculated values
total DFT energy (no corrections) = -8.18 eV for the cell shown

Cell lengths 6.558, 6.558, 7.640 Å; angles 90.00, 90.00, 90.00 degrees
Space group P4/mmm (No. 123)
Symmetry-distinct sites (fractional):
1 K 0.000 0.000 0.000 [1 per cell]
2 Cd 0.000 0.000 0.500 [1 per cell]
3 P 0.000 0.500 0.000 [2 per cell]
4 H 0.500 0.500 0.500 [1 per cell]



Entry 23:
An optimized crystal structure of AsPBr2, computed with PBE.

Calculated values
uncorrected formation energy = -163 meV/atom
energy above the most stable polymorph in this dataset = 0.0 meV per atom

Cell lengths 12.109, 3.631, 6.352 Å; angles 90.00, 93.21, 90.00 degrees
Space group Cm (No. 8)
Symmetry-distinct sites (fractional):
1 As 0.000 0.000 0.000 [2 per cell]
2 P 0.442 0.000 0.761 [2 per cell]
3 Br 0.100 0.500 0.589 [2 per cell]
4 Br 0.332 0.500 0.177 [2 per cell]



Entry 24:
An optimized crystal structure of InSe2SBr, computed with PBE.

Calculated values
uncorrected formation energy = 183 meV/atom
energy above the most stable polymorph in this dataset = 0.0 meV per atom

Cell lengths 4.954, 4.954, 5.289 Å; angles 90.00, 90.00, 90.00 degrees
Space group P4/mmm (No. 123)
Symmetry-distinct sites (fractional):
1 In 0.000 0.000 0.000 [1 per cell]
2 Se 0.000 0.500 0.500 [2 per cell]
3 S 0.500 0.500 0.500 [1 per cell]
4 Br 0.500 0.500 0.000 [1 per cell]



Entry 25:
An optimized crystal structure of GePdPt2F, computed with PBE.

Calculated values
uncorrected formation energy = 436 meV/atom

Cell lengths 4.994, 4.994, 3.856 Å; angles 90.00, 90.00, 90.00 degrees
Space group P4/mmm (No. 123)
Symmetry-distinct sites (fractional):
1 Ge 0.000 0.000 0.000 [1 per cell]
2 Pd 0.500 0.500 0.500 [1 per cell]
3 Pt 0.000 0.500 0.500 [2 per cell]
4 F 0.500 0.500 0.000 [1 per cell]



Entry 26:
An optimized crystal structure of GaPPd5, computed with PBE.

Calculated values
calculated formation energy = -12.880 kcal/mol of atoms
energy above the most stable polymorph in this dataset = 0.0 meV per atom

Cell lengths 3.933, 3.933, 6.856 Å; angles 90.00, 90.00, 90.00 degrees
Space group P4/mmm (No. 123)
Symmetry-distinct sites (fractional):
1 Ga 0.000 0.000 0.000 [1 per cell]
2 P 0.500 0.500 0.500 [1 per cell]
3 Pd 0.000 0.500 0.292 [4 per cell]
4 Pd 0.500 0.500 0.000 [1 per cell]